Entry 1:
Material: RbHgPAu2
Method: DFT, GGA-PBE
State: optimized geometry Values from VASP.

```
&SYSTEM
  ibrav = 0, nat = 5, ntyp = 4
/
ATOMIC_SPECIES
Hg 200.59 Hg.upf
P 30.97 P.upf
Au 196.97 Au.upf
Rb 85.47 Rb.upf
CELL_PARAMETERS angstrom
4.946 0.000 0.000
0.000 4.946 0.000
0.000 0.000 5.632
ATOMIC_POSITIONS angstrom
Hg 0.000 0.000 2.816
P 0.000 0.000 0.000
Au 0.000 2.473 0.000
Au 2.473 0.000 0.000
Rb 2.473 2.473 2.816
```

Output
Formation enthalpy at 0 K = -86 meV per atom
Mass density = 8.6 g/cm³
Space-group type = P4/mmm, No. 123
Excess energy over the best structure of this formula in the dataset = 0.00 eV per formula unit
Size of the total moment = 0.000 μB per formula unit


Entry 2:
Material: NbCdH
Method: DFT, GGA-PBE
State: optimized geometry Values from VASP.

```
&SYSTEM
  ibrav = 0, nat = 12, ntyp = 3
/
ATOMIC_SPECIES
Nb 92.91 Nb.upf
Cd 112.41 Cd.upf
H 1.01 H.upf
CELL_PARAMETERS angstrom
-6.554 3.000 0.008
-1.563 -3.415 0.445
0.324 0.691 6.438
ATOMIC_POSITIONS angstrom
Nb -6.717 0.464 4.078
Nb -4.462 1.077 0.634
Nb -1.075 -0.188 2.814
Nb -3.330 -0.802 6.258
Cd -3.811 1.247 4.225
Cd -3.981 -0.972 2.667
Cd -0.462 -0.098 5.660
Cd -7.330 0.373 1.231
H -5.902 2.066 3.162
H -2.770 0.258 0.290
H -5.022 0.017 6.602
H -1.890 -1.790 3.730
```

Output
Mass density = 7.8 g/cm³
Space-group type = Pnma, No. 62
Excess energy over the best structure of this formula in the dataset = 0.55 eV per formula unit
Size of the total moment = 0.000 μB per formula unit


Entry 3:
Material: PmNd2Mg4
Method: DFT, GGA-PBE
State: optimized geometry Values from VASP.

```
&SYSTEM
  ibrav = 0, nat = 7, ntyp = 3
/
ATOMIC_SPECIES
Mg 24.30 Mg.upf
Nd 144.24 Nd.upf
Pm 145.00 Pm.upf
CELL_PARAMETERS angstrom
-1.535 1.807 -5.094
-5.333 0.354 1.733
4.722 6.703 4.054
ATOMIC_POSITIONS angstrom
Mg -2.667 0.177 0.866
Mg -2.626 5.972 -0.189
Mg -0.768 0.904 -2.547
Mg 0.478 2.893 0.882
Nd 1.011 6.114 1.865
Nd -3.158 2.750 -1.171
Pm 0.000 0.000 0.000
```

Output
Formation enthalpy at 0 K = 545 meV per atom
Mass density = 3.4 g/cm³
Space-group type = I4/mmm, No. 139
Excess energy over the best structure of this formula in the dataset = 3.03 eV per formula unit
Size of the total moment = 0.000 μB per formula unit


Entry 4:
Material: Li2YFe2
Method: DFT, GGA-PBE
State: optimized geometry Values from VASP.

```
&SYSTEM
  ibrav = 0, nat = 5, ntyp = 3
/
ATOMIC_SPECIES
Fe 55.84 Fe.upf
Li 6.94 Li.upf
Y 88.91 Y.upf
CELL_PARAMETERS angstrom
-2.012 2.012 4.999
2.012 -2.012 4.999
2.012 2.012 -4.999
ATOMIC_POSITIONS angstrom
Fe 0.000 2.012 2.500
Fe 2.012 0.000 2.500
Li 0.000 0.000 3.835
Li 0.000 0.000 6.163
Y 0.000 0.000 0.000
```

Output
Formation enthalpy at 0 K = 410 meV per atom
Mass density = 4.4 g/cm³
Space-group type = I4/mmm, No. 139
Size of the total moment = 3.859 μB per formula unit


Calculated Fermi-level density of states, 0.091; 0.163; 1.201; 0.903 states/eV/atom (same order as the records).
Calculated total DFT energy (no corrections), -2.7332; -4.6059; -2.4072; -5.0337 eV per atom (same order as the records).